# 1
Material: BeGaAg3
Method: DFT, PBEsol
State: relaxed

```
5
Lattice="4.710 0.000 0.000 0.000 4.710 0.000 0.000 0.000 4.710" Properties=species:S:1:pos:R:3 pbc="T T T"
Be 2.355 2.355 2.355
Ga 0.000 0.000 0.000
Ag 0.000 2.355 0.000
Ag 0.000 0.000 2.355
Ag 2.355 0.000 0.000
```

Results
Uncorrected energy in eV per atom: -2.497
Energy of formation from the pure elements in eV/atom: 0.96
Fermi-level density of states in states/eV per cell: 2.3

# 2
Material: YCoTc2
Method: DFT, PBEsol
State: relaxed

```
4
Lattice="-1.838 -2.510 -3.157 -1.993 -3.810 1.077 -4.411 -0.347 -0.267" Properties=species:S:1:pos:R:3 pbc="T T T"
Co -4.121 -3.333 -1.174
Tc 0.000 0.000 0.000
Tc -2.060 -1.667 -0.587
Y -6.181 -5.000 -1.761
```

Results
Uncorrected energy in eV per atom: -9.062
Relative energy among the computed polymorphs in eV/f.u.: 0.00
Energy of formation from the pure elements in eV/atom: 0.21
Fermi-level density of states in states/eV per cell: 2.2

# 3
Material: Li2LaMg
Method: DFT, PBEsol
State: relaxed

```
4
Lattice="3.449 0.000 0.000 0.000 3.449 0.000 0.000 0.000 8.107" Properties=species:S:1:pos:R:3 pbc="T T T"
Mg 0.000 0.000 3.686
La 1.724 1.724 6.090
Li 0.000 0.000 0.413
Li 1.724 1.724 1.971
```

Results
Uncorrected energy in eV per atom: -2.734
Energy of formation from the pure elements in eV/atom: 0.02
Fermi-level density of states in states/eV per cell: 3.4

# 4
Material: ReNi5
Method: DFT, PBEsol
State: relaxed

```
6
Lattice="2.554 0.000 0.000 -1.277 4.605 -0.004 0.000 -1.540 5.662" Properties=species:S:1:pos:R:3 pbc="T T T"
Ni 1.277 4.584 0.037
Ni 0.000 3.149 1.572
Ni 1.277 1.052 1.904
Ni 0.000 -0.432 3.419
Ni 0.000 2.060 3.771
Re 1.277 0.570 5.325
```

Results
Uncorrected energy in eV per atom: -7.328
Relative energy among the computed polymorphs in eV/f.u.: 0.29
Energy of formation from the pure elements in eV/atom: 0.03
Fermi-level density of states in states/eV per cell: 9.1

# 5
Material: BaInBr
Method: DFT, PBEsol
State: relaxed

```
3
Lattice="3.976 0.000 0.000 0.000 5.387 0.000 0.000 -2.693 4.665" Properties=species:S:1:pos:R:3 pbc="T T T"
Ba 3.971 0.000 0.000
Br 2.005 0.000 3.110
In 1.977 2.694 1.555
```

Results
Uncorrected energy in eV per atom: -3.075
Formation energy (no corrections) in eV per formula unit: -2.22
Relative energy among the computed polymorphs in eV/f.u.: 0.00
Fermi-level density of states in states/eV per cell: 2.7

# 6
Material: InCuOs2
Method: DFT, PBEsol
State: relaxed

```
4
Lattice="-0.087 -0.808 -2.702 2.816 0.121 -0.127 0.404 -7.138 2.120" Properties=species:S:1:pos:R:3 pbc="T T T"
Cu 0.196 -3.469 1.031
In 1.664 -5.647 0.161
Os 0.010 -0.178 0.053
Os 1.464 -2.098 -0.894
```

Results
Uncorrected energy in eV per atom: -7.697
Energy of formation from the pure elements in eV/atom: 0.24
Fermi-level density of states in states/eV per cell: 2.0

# 7
Material: Tl3BF
Method: DFT, PBEsol
State: relaxed

```
5
Lattice="5.007 0.000 0.000 0.000 5.007 0.000 0.000 0.000 5.007" Properties=species:S:1:pos:R:3 pbc="T T T"
Tl 0.000 2.504 0.000
Tl 0.000 0.000 2.504
Tl 2.504 0.000 0.000
B 2.504 2.504 2.504
F 0.000 0.000 0.000
```

Results
Uncorrected energy in eV per atom: -2.940
Formation energy (no corrections) in eV per formula unit: 2.14
Fermi-level density of states in states/eV per cell: 3.5

# 8
Material: KCuCl2
Method: DFT, PBEsol
State: relaxed

```
4
Lattice="3.978 0.000 0.000 0.000 4.100 0.646 0.000 0.811 6.256" Properties=species:S:1:pos:R:3 pbc="T T T"
K 1.989 1.982 6.066
Cu 0.000 3.248 3.360
Cl 0.000 4.201 5.370
Cl 1.989 2.845 2.459
```

Results
Uncorrected energy in eV per atom: -3.491
Formation energy (no corrections) in eV per formula unit: -4.48
Relative energy among the computed polymorphs in eV/f.u.: 0.00
Fermi-level density of states in states/eV per cell: 0.0

# 9
Material: BaCaPb2
Method: DFT, PBEsol
State: relaxed

```
4
Lattice="3.625 0.000 0.000 0.000 6.100 -0.004 0.000 -1.532 5.905" Properties=species:S:1:pos:R:3 pbc="T T T"
Pb 0.000 3.050 -0.002
Pb 0.000 -0.766 2.952
Ca 1.812 2.284 2.951
Ba 1.812 0.000 0.000
```

Results
Uncorrected energy in eV per atom: -3.574
Energy of formation from the pure elements in eV/atom: -0.50
Fermi-level density of states in states/eV per cell: 1.5

# 10
Material: Bi3TeS
Method: DFT, PBEsol
State: relaxed

```
5
Lattice="5.740 0.000 0.000 0.000 5.740 0.000 0.000 0.000 5.740" Properties=species:S:1:pos:R:3 pbc="T T T"
S 2.870 2.870 2.870
Te 0.000 0.000 0.000
Bi 0.000 2.870 0.000
Bi 0.000 0.000 2.870
Bi 2.870 0.000 0.000
```

Results
Uncorrected energy in eV per atom: -3.102
Formation energy (no corrections) in eV per formula unit: 5.26
Fermi-level density of states in states/eV per cell: 6.8

# 11
Material: BaSnO3
Method: DFT, PBEsol
State: relaxed

```
5
Lattice="-0.976 3.286 3.055 -2.972 -2.815 2.078 3.360 -1.535 2.725" Properties=species:S:1:pos:R:3 pbc="T T T"
Ba 0.000 0.000 0.000
O -1.486 -1.408 1.039
O 1.680 -0.768 1.363
O -0.488 1.643 1.527
Sn -0.294 -0.533 3.929
```

Results
Uncorrected energy in eV per atom: -4.846
Formation energy (no corrections) in eV per formula unit: -2.08
Fermi-level density of states in states/eV per cell: 1.5

# 12
Material: PrAlCo4
Method: DFT, PBEsol
State: relaxed

```
6
Lattice="-2.665 -2.662 0.569 0.382 -1.423 -4.870 2.940 -2.189 3.528" Properties=species:S:1:pos:R:3 pbc="T T T"
Pr 0.000 0.000 0.000
Co 2.087 -1.934 0.729
Co 0.156 -2.450 2.018
Co 1.768 -4.203 1.367
Co 0.341 -3.141 -0.345
Al 1.235 -1.678 -2.070
```

Results
Uncorrected energy in eV per atom: -6.857
Energy of formation from the pure elements in eV/atom: -0.15
Fermi-level density of states in states/eV per cell: 7.2

# 13
Material: TlFeP2
Method: DFT, PBEsol
State: relaxed

```
4
Lattice="-1.482 -4.032 -1.300 -1.480 -2.938 3.053 -4.375 -0.969 0.245" Properties=species:S:1:pos:R:3 pbc="T T T"
Fe 0.000 0.000 0.000
P -1.834 -1.985 0.500
P -5.503 -5.954 1.499
Tl -3.669 -3.969 0.999
```

Results
Uncorrected energy in eV per atom: -5.059
Relative energy among the computed polymorphs in eV/f.u.: 3.01
Energy of formation from the pure elements in eV/atom: 0.73
Fermi-level density of states in states/eV per cell: 4.6

# 14
Material: Sn3Bi
Method: DFT, PBEsol
State: relaxed

```
4
Lattice="4.663 0.000 0.000 0.000 4.663 0.000 -2.332 -2.332 5.045" Properties=species:S:1:pos:R:3 pbc="T T T"
Bi 0.000 0.000 0.000
Sn 2.332 2.332 0.000
Sn 2.332 0.000 2.523
Sn 0.000 2.332 2.523
```

Results
Uncorrected energy in eV per atom: -4.216
Energy of formation from the pure elements in eV/atom: 0.05
Fermi-level density of states in states/eV per cell: 2.1

# 15
Material: CaCrTe3
Method: DFT, PBEsol
State: relaxed

```
5
Lattice="-0.051 -5.295 2.040 5.179 -0.877 -2.148 2.320 1.842 4.840" Properties=species:S:1:pos:R:3 pbc="T T T"
Cr 3.724 -2.165 2.366
Ca 0.000 0.000 0.000
Te 2.589 -0.439 -1.074
Te 1.160 0.921 2.420
Te -0.025 -2.648 1.020
```

Results
Uncorrected energy in eV per atom: -4.011
Formation energy (no corrections) in eV per formula unit: 2.90
Fermi-level density of states in states/eV per cell: 6.7

# 16
Material: MgAg3
Method: DFT, PBEsol
State: relaxed

```
4
Lattice="3.398 0.000 0.000 0.000 3.398 0.000 0.000 0.000 5.936" Properties=species:S:1:pos:R:3 pbc="T T T"
Mg 1.699 1.699 0.000
Ag 0.000 0.000 4.442
Ag 0.000 0.000 1.494
Ag 1.699 1.699 2.968
```

Results
Uncorrected energy in eV per atom: -3.035
Relative energy among the computed polymorphs in eV/f.u.: 0.21
Energy of formation from the pure elements in eV/atom: -0.12
Fermi-level density of states in states/eV per cell: 1.2

# 17
Material: Li2ScCoCu
Method: DFT, PBEsol
State: relaxed

```
5
Lattice="-2.626 2.288 2.739 -2.588 -3.816 0.707 2.724 -1.180 3.598" Properties=species:S:1:pos:R:3 pbc="T T T"
Sc 0.000 0.000 0.000
Co -1.245 -1.354 3.522
Cu -1.313 1.144 1.369
Li 1.362 -0.590 1.799
Li -1.294 -1.908 0.354
```

Results
Uncorrected energy in eV per atom: -2.963
Energy of formation from the pure elements in eV/atom: 1.56
Fermi-level density of states in states/eV per cell: 5.4

# 18
Material: SiB2Ir2
Method: DFT, PBEsol
State: relaxed

```
10
Lattice="2.745 0.000 0.000 0.000 6.306 0.000 0.000 0.000 6.306" Properties=species:S:1:pos:R:3 pbc="T T T"
Si 0.000 0.000 0.000
Si 0.000 3.153 3.153
Ir 1.372 1.411 4.564
Ir 1.372 4.564 4.894
Ir 1.372 4.894 1.742
Ir 1.372 1.742 1.411
B 0.000 2.578 5.731
B 0.000 5.731 3.728
B 0.000 3.728 0.575
B 0.000 0.575 2.578
```

Results
Uncorrected energy in eV per atom: -7.781
Formation energy (no corrections) in eV per formula unit: 0.52
Fermi-level density of states in states/eV per cell: 4.0

# 19
Material: CdO2
Method: DFT, PBEsol
State: relaxed

```
12
Lattice="5.313 0.000 0.000 0.000 5.313 0.000 0.000 0.000 5.313" Properties=species:S:1:pos:R:3 pbc="T T T"
O 0.429 3.086 4.884
O 2.228 2.228 2.228
O 2.228 0.429 4.884
O 0.429 4.884 2.228
O 4.884 2.228 0.429
O 4.884 0.429 3.086
O 3.086 4.884 0.429
O 3.086 3.086 3.086
Cd 0.000 2.657 2.657
Cd 2.657 0.000 2.657
Cd 2.657 2.657 0.000
Cd 0.000 0.000 0.000
```

Results
Uncorrected energy in eV per atom: -4.417
Formation energy (no corrections) in eV per formula unit: -1.56

# 20
Material: K4CuHg
Method: DFT, PBEsol
State: relaxed

```
6
Lattice="-3.387 1.742 -6.278 -6.563 -2.901 -1.559 -6.004 4.226 0.117" Properties=species:S:1:pos:R:3 pbc="T T T"
Cu -11.965 2.300 -5.790
Hg 0.000 0.000 0.000
K -5.993 1.152 -2.900
K -8.979 3.255 -2.842
K -7.677 2.019 -6.023
K -9.258 -0.291 -3.676
```

Results
Uncorrected energy in eV per atom: -1.066
Energy of formation from the pure elements in eV/atom: 0.51
Fermi-level density of states in states/eV per cell: 2.5